! NaBe3Nb PBE relaxed; values from VASP
! energy of formation from the pure elements: 130.4 kJ/mol of atoms
! symmetry: No. 221
! crystal system: cubic
&SYSTEM
  ibrav = 0, nat = 5, ntyp = 3
/
ATOMIC_SPECIES
Na 22.99 Na.upf
Be 9.01 Be.upf
Nb 92.91 Nb.upf
CELL_PARAMETERS angstrom
4.688 0.000 0.000
0.000 4.688 0.000
0.000 0.000 4.688
ATOMIC_POSITIONS angstrom
Na 0.000 0.000 0.000
Be 0.000 2.344 2.344
Be 2.344 0.000 2.344
Be 2.344 2.344 0.000
Nb 2.344 2.344 2.344


! Rb2PdIBr6 PBE relaxed; values from VASP
! formation energy without anion corrections: -782 kJ/mol of formula units
! symmetry: No. 139
! crystal system: tetragonal
&SYSTEM
  ibrav = 0, nat = 10, ntyp = 4
/
ATOMIC_SPECIES
Rb 85.47 Rb.upf
Pd 106.42 Pd.upf
I 126.90 I.upf
Br 79.90 Br.upf
CELL_PARAMETERS angstrom
-3.912 3.912 5.979
3.912 -3.912 5.979
3.912 3.912 -5.979
ATOMIC_POSITIONS angstrom
Rb 3.912 0.000 2.990
Rb 0.000 3.912 2.990
Pd 0.000 0.000 0.000
I 0.000 0.000 5.979
Br 0.000 0.000 2.507
Br 1.838 1.838 0.000
Br 2.073 -2.073 5.979
Br -2.073 2.073 5.979
Br 2.073 2.073 5.979
Br 0.000 0.000 9.452


! AcLaGa2Pd2 PBE relaxed; values from VASP
! energy of formation from the pure elements: -77.2 kJ/mol of atoms
! symmetry: No. 164
! crystal system: trigonal
&SYSTEM
  ibrav = 0, nat = 6, ntyp = 4
/
ATOMIC_SPECIES
Ac 227.00 Ac.upf
La 138.91 La.upf
Ga 69.72 Ga.upf
Pd 106.42 Pd.upf
CELL_PARAMETERS angstrom
4.539 0.000 0.000
-2.270 3.931 0.000
0.000 0.000 8.070
ATOMIC_POSITIONS angstrom
Ac 0.000 0.000 0.000
La 0.000 0.000 4.035
Ga 0.000 2.621 2.138
Ga 2.270 1.310 5.931
Pd 0.000 2.621 5.961
Pd 2.270 1.310 2.108


| no. | theoretical density (Mg/m³) |
| --- | --- |
| 1 | 2.30 |
| 2 | 4.01 |
| 3 | 8.28 |